## LiZr2Hg (meta-GGA SCAN)

Data for LiZr2Hg at its PBEsol-relaxed geometry.

a = 5.5736 Å, b = 10.1439 Å, c = 2.9354 Å
α = 90.00°, β = 107.25°, γ = 90.00°
With the nearest neighbours (Å) after each atom.
Positions (direct):
Li1 0.0000 0.0000 0.0000  2 Hg 2.79, 2 Li 2.94, 4 Zr 3.05
Li2 0.5000 0.5000 0.0000  2 Hg 2.79, 2 Li 2.94, 4 Zr 3.05
Zr1 0.2500 0.2500 0.5000  4 Zr 2.79-2.94, 2 Li 3.05, 2 Hg 3.05
Zr2 0.2500 0.7500 0.5000  4 Zr 2.79-2.94, 2 Hg 3.05, 2 Li 3.05
Zr3 0.7500 0.2500 0.5000  4 Zr 2.79-2.94, 2 Hg 3.05, 2 Li 3.05
Zr4 0.7500 0.7500 0.5000  4 Zr 2.79-2.94, 2 Hg 3.05, 2 Li 3.05
Hg1 0.0000 0.5000 0.0000  2 Li 2.79, 2 Hg 2.94, 4 Zr 3.05
Hg2 0.5000 0.0000 0.0000  2 Li 2.79, 2 Hg 2.94, 4 Zr 3.05

## Properties
* energy relative to the elements: -31.3 meV per atom

=====

## LuMgHg2 (meta-GGA SCAN)

Data for LuMgHg2 at its PBEsol-relaxed geometry.

a = 6.9759 Å, b = 6.9759 Å, c = 6.9759 Å
α = 90.00°, β = 90.00°, γ = 90.00°
With the nearest neighbours (Å) after each atom.
Positions (direct):
Lu1 0.0000 0.0000 0.0000  8 Hg 3.02
Lu2 0.0000 0.5000 0.5000  8 Hg 3.02
Lu3 0.5000 0.0000 0.5000  8 Hg 3.02
Lu4 0.5000 0.5000 0.0000  8 Hg 3.02
Mg1 0.0000 0.0000 0.5000  8 Hg 3.02
Mg2 0.0000 0.5000 0.0000  8 Hg 3.02
Mg3 0.5000 0.0000 0.0000  8 Hg 3.02
Mg4 0.5000 0.5000 0.5000  8 Hg 3.02
Hg1 0.2500 0.2500 0.2500  4 Mg 3.02, 4 Lu 3.02
Hg2 0.2500 0.2500 0.7500  4 Mg 3.02, 4 Lu 3.02
Hg3 0.2500 0.7500 0.2500  4 Mg 3.02, 4 Lu 3.02
Hg4 0.2500 0.7500 0.7500  4 Mg 3.02, 4 Lu 3.02
Hg5 0.7500 0.2500 0.2500  4 Mg 3.02, 4 Lu 3.02
Hg6 0.7500 0.2500 0.7500  4 Mg 3.02, 4 Lu 3.02
Hg7 0.7500 0.7500 0.2500  4 Mg 3.02, 4 Lu 3.02
Hg8 0.7500 0.7500 0.7500  4 Mg 3.02, 4 Lu 3.02

## Properties
* energy relative to the elements: -619.2 meV per atom

=====

## SmLuHg2 (meta-GGA SCAN)

Data for SmLuHg2 at its PBEsol-relaxed geometry.

a = 7.3148 Å, b = 7.3148 Å, c = 7.3148 Å
α = 90.00°, β = 90.00°, γ = 90.00°
With the nearest neighbours (Å) after each atom.
Positions (direct):
Sm1 0.0000 0.0000 0.0000  8 Hg 3.17
Sm2 0.0000 0.5000 0.5000  8 Hg 3.17
Sm3 0.5000 0.0000 0.5000  8 Hg 3.17
Sm4 0.5000 0.5000 0.0000  8 Hg 3.17
Lu1 0.0000 0.0000 0.5000  8 Hg 3.17
Lu2 0.0000 0.5000 0.0000  8 Hg 3.17
Lu3 0.5000 0.0000 0.0000  8 Hg 3.17
Lu4 0.5000 0.5000 0.5000  8 Hg 3.17
Hg1 0.2500 0.2500 0.2500  4 Sm 3.17, 4 Lu 3.17
Hg2 0.2500 0.2500 0.7500  4 Sm 3.17, 4 Lu 3.17
Hg3 0.2500 0.7500 0.2500  4 Sm 3.17, 4 Lu 3.17
Hg4 0.2500 0.7500 0.7500  4 Sm 3.17, 4 Lu 3.17
Hg5 0.7500 0.2500 0.2500  4 Sm 3.17, 4 Lu 3.17
Hg6 0.7500 0.2500 0.7500  4 Sm 3.17, 4 Lu 3.17
Hg7 0.7500 0.7500 0.2500  4 Sm 3.17, 4 Lu 3.17
Hg8 0.7500 0.7500 0.7500  4 Lu 3.17, 4 Sm 3.17

## Properties
* energy relative to the elements: -686.4 meV per atom

=====

## TbLuHg2 (meta-GGA SCAN)

Data for TbLuHg2 at its PBEsol-relaxed geometry.

a = 7.2535 Å, b = 7.2535 Å, c = 7.2535 Å
α = 90.00°, β = 90.00°, γ = 90.00°
With the nearest neighbours (Å) after each atom.
Positions (direct):
Tb1 0.0000 0.0000 0.0000  8 Hg 3.14
Tb2 0.0000 0.5000 0.5000  8 Hg 3.14
Tb3 0.5000 0.0000 0.5000  8 Hg 3.14
Tb4 0.5000 0.5000 0.0000  8 Hg 3.14
Lu1 0.0000 0.0000 0.5000  8 Hg 3.14
Lu2 0.0000 0.5000 0.0000  8 Hg 3.14
Lu3 0.5000 0.0000 0.0000  8 Hg 3.14
Lu4 0.5000 0.5000 0.5000  8 Hg 3.14
Hg1 0.2500 0.2500 0.2500  4 Tb 3.14, 4 Lu 3.14
Hg2 0.2500 0.2500 0.7500  4 Tb 3.14, 4 Lu 3.14
Hg3 0.2500 0.7500 0.2500  4 Tb 3.14, 4 Lu 3.14
Hg4 0.2500 0.7500 0.7500  4 Tb 3.14, 4 Lu 3.14
Hg5 0.7500 0.2500 0.2500  4 Tb 3.14, 4 Lu 3.14
Hg6 0.7500 0.2500 0.7500  4 Tb 3.14, 4 Lu 3.14
Hg7 0.7500 0.7500 0.2500  4 Tb 3.14, 4 Lu 3.14
Hg8 0.7500 0.7500 0.7500  4 Tb 3.14, 4 Lu 3.14

## Properties
* energy relative to the elements: -698.1 meV per atom

=====

## TmLuHg2 (meta-GGA SCAN)

Data for TmLuHg2 at its PBEsol-relaxed geometry.

a = 7.1914 Å, b = 7.1914 Å, c = 7.1914 Å
α = 90.00°, β = 90.00°, γ = 90.00°
With the nearest neighbours (Å) after each atom.
Positions (direct):
Tm1 0.0000 0.0000 0.0000  8 Hg 3.11
Tm2 0.0000 0.5000 0.5000  8 Hg 3.11
Tm3 0.5000 0.0000 0.5000  8 Hg 3.11
Tm4 0.5000 0.5000 0.0000  8 Hg 3.11
Lu1 0.0000 0.0000 0.5000  8 Hg 3.11
Lu2 0.0000 0.5000 0.0000  8 Hg 3.11
Lu3 0.5000 0.0000 0.0000  8 Hg 3.11
Lu4 0.5000 0.5000 0.5000  8 Hg 3.11
Hg1 0.2500 0.2500 0.2500  4 Tm 3.11, 4 Lu 3.11
Hg2 0.2500 0.2500 0.7500  4 Tm 3.11, 4 Lu 3.11
Hg3 0.2500 0.7500 0.2500  4 Tm 3.11, 4 Lu 3.11
Hg4 0.2500 0.7500 0.7500  4 Tm 3.11, 4 Lu 3.11
Hg5 0.7500 0.2500 0.2500  4 Tm 3.11, 4 Lu 3.11
Hg6 0.7500 0.2500 0.7500  4 Tm 3.11, 4 Lu 3.11
Hg7 0.7500 0.7500 0.2500  4 Tm 3.11, 4 Lu 3.11
Hg8 0.7500 0.7500 0.7500  4 Lu 3.11, 4 Tm 3.11

## Properties
* energy relative to the elements: -699.2 meV per atom

=====

## Lu2ZnHg (meta-GGA SCAN)

Data for Lu2ZnHg at its PBEsol-relaxed geometry.

a = 7.0303 Å, b = 7.0303 Å, c = 7.0303 Å
α = 90.00°, β = 90.00°, γ = 90.00°
With the nearest neighbours (Å) after each atom.
Positions (direct):
Lu1 0.2500 0.2500 0.2500  4 Hg 3.04, 4 Zn 3.04
Lu2 0.2500 0.2500 0.7500  4 Hg 3.04, 4 Zn 3.04
Lu3 0.2500 0.7500 0.2500  4 Hg 3.04, 4 Zn 3.04
Lu4 0.2500 0.7500 0.7500  4 Hg 3.04, 4 Zn 3.04
Lu5 0.7500 0.2500 0.2500  4 Hg 3.04, 4 Zn 3.04
Lu6 0.7500 0.2500 0.7500  4 Hg 3.04, 4 Zn 3.04
Lu7 0.7500 0.7500 0.2500  4 Hg 3.04, 4 Zn 3.04
Lu8 0.7500 0.7500 0.7500  4 Hg 3.04, 4 Zn 3.04
Zn1 0.0000 0.0000 0.0000  8 Lu 3.04
Zn2 0.0000 0.5000 0.5000  8 Lu 3.04
Zn3 0.5000 0.0000 0.5000  8 Lu 3.04
Zn4 0.5000 0.5000 0.0000  8 Lu 3.04
Hg1 0.0000 0.0000 0.5000  8 Lu 3.04
Hg2 0.0000 0.5000 0.0000  8 Lu 3.04
Hg3 0.5000 0.0000 0.0000  8 Lu 3.04
Hg4 0.5000 0.5000 0.5000  8 Lu 3.04

## Properties
* energy relative to the elements: -572.9 meV per atom